Record 1
Material: Sc4AsO2
Method: DFT, PBE
State: relaxed

Output
**Uncorrected energy**: -7.011 eV/atom
**SG**: No. 139
**Relative energy among the computed polymorphs**: 0.709 eV per atom
**Total moment**: 0.0 μB per formula unit
**E_form (uncorrected)**: -1.31 eV/atom

Cell lengths 4.943, 4.943, 6.832 Å; angles 68.79, 68.79, 90.00 degrees
Element x y z (fractional)
Sc (0.000, 0.500, 0.000)
Sc (0.500, 0.000, 0.000)
Sc (0.755, 0.755, 0.490)
Sc (0.245, 0.245, 0.510)
O (0.401, 0.401, 0.198)
O (0.599, 0.599, 0.802)
As (0.000, 0.000, 0.000)


Record 2
Material: TmNpPa2C4
Method: DFT, PBE
State: relaxed

Output
**Uncorrected energy**: -9.436 eV/atom
**SG**: No. 10
**Energy of formation**: -0.273 eV/atom
**Total moment**: 3.1 μB per formula unit

Cell lengths 3.587, 6.130, 6.196 Å; angles 70.52, 90.00, 90.00 degrees
Element x y z (fractional)
C (0.000, 0.756, 0.750)
C (0.000, 0.244, 0.250)
C (0.500, 0.755, 0.236)
C (0.500, 0.245, 0.764)
Tm (0.000, 0.500, 0.500)
Np (0.500, 0.500, 0.000)
Pa (0.000, 0.000, 0.000)
Pa (0.500, 0.000, 0.500)


Record 3
Material: Ca2NiB10
Method: DFT, PBE
State: relaxed

Output
**Uncorrected energy**: -6.279 eV/atom
**SG**: No. 55
**Energy of formation**: -0.390 eV/atom
**Total moment**: 0.0 μB per formula unit

Cell lengths 4.182, 5.610, 11.168 Å; angles 90.00, 90.00, 90.00 degrees
Element x y z (fractional)
B (0.702, 0.802, 0.887)
B (0.000, 0.836, 0.302)
B (0.000, 0.472, 0.687)
B (0.000, 0.336, 0.198)
B (0.000, 0.664, 0.802)
B (0.298, 0.698, 0.387)
B (0.702, 0.698, 0.387)
B (0.000, 0.972, 0.813)
B (0.000, 0.126, 0.542)
B (0.000, 0.374, 0.042)
B (0.702, 0.302, 0.613)
B (0.702, 0.198, 0.113)
B (0.298, 0.302, 0.613)
B (0.000, 0.874, 0.458)
B (0.000, 0.028, 0.187)
B (0.000, 0.528, 0.313)
B (0.000, 0.164, 0.698)
B (0.298, 0.802, 0.887)
B (0.000, 0.626, 0.958)
B (0.298, 0.198, 0.113)
Ca (0.500, 0.308, 0.864)
Ca (0.500, 0.192, 0.364)
Ca (0.500, 0.692, 0.136)
Ca (0.500, 0.808, 0.636)
Ni (0.000, 0.500, 0.500)
Ni (0.000, 0.000, 0.000)


Record 4
Material: V2AgRh2
Method: DFT, PBE
State: relaxed

Output
**Uncorrected energy**: -7.248 eV/atom
**SG**: No. 127
**Energy of formation**: -0.089 eV/atom
**Relative energy among the computed polymorphs**: 0.058 eV per atom
**Total moment**: 0.0 μB per formula unit

Cell lengths 7.443, 7.443, 2.726 Å; angles 90.00, 90.00, 90.00 degrees
Element x y z (fractional)
Rh (0.350, 0.150, 0.500)
Rh (0.150, 0.650, 0.500)
Rh (0.650, 0.850, 0.500)
Rh (0.850, 0.350, 0.500)
Ag (0.000, 0.000, 0.000)
Ag (0.500, 0.500, 0.000)
V (0.358, 0.858, 0.000)
V (0.642, 0.142, 0.000)
V (0.142, 0.358, 0.000)
V (0.858, 0.642, 0.000)


Record 5
Material: Ba5IrI5
Method: DFT, PBE
State: relaxed

Output
**Uncorrected energy**: -3.657 eV/atom
**SG**: No. 12
**Total moment**: 1.1 μB per formula unit
**E_form (uncorrected)**: -1.27 eV/atom

Cell lengths 6.974, 8.855, 9.858 Å; angles 107.60, 90.00, 113.19 degrees
Element x y z (fractional)
Ba (0.859, 0.718, 0.709)
Ba (0.865, 0.730, 0.143)
Ba (0.500, 0.000, 0.000)
Ba (0.141, 0.282, 0.291)
Ba (0.135, 0.270, 0.857)
I (0.675, 0.349, 0.834)
I (0.304, 0.609, 0.670)
I (0.000, 0.000, 0.500)
I (0.325, 0.651, 0.166)
I (0.696, 0.391, 0.330)
Ir (0.000, 0.000, 0.000)


Record 6
Material: Sc2CdSe
Method: DFT, PBE
State: relaxed

Output
**Uncorrected energy**: -4.825 eV/atom
**SG**: No. 119
**Relative energy among the computed polymorphs**: 0.315 eV per atom
**Total moment**: 0.0 μB per formula unit
**E_form (uncorrected)**: -0.56 eV/atom

Cell lengths 5.972, 5.972, 5.972 Å; angles 140.29, 140.29, 57.41 degrees
Element x y z (fractional)
Sc (0.000, 0.000, 0.000)
Sc (0.250, 0.750, 0.500)
Se (0.500, 0.500, 0.000)
Cd (0.750, 0.250, 0.500)


Record 7
Material: Nd9Sm4Ag11
Method: DFT, PBE
State: relaxed

Output
**Uncorrected energy**: -4.053 eV/atom
**SG**: No. 65
**Energy of formation**: -0.171 eV/atom
**Total moment**: 0.6 μB per formula unit

Cell lengths 3.623, 13.777, 13.777 Å; angles 111.18, 90.00, 90.00 degrees
Element x y z (fractional)
Ag (0.000, 0.938, 0.582)
Ag (0.000, 0.000, 0.000)
Ag (0.000, 0.644, 0.356)
Ag (0.000, 0.418, 0.062)
Ag (0.000, 0.256, 0.256)
Ag (0.000, 0.165, 0.835)
Ag (0.000, 0.356, 0.644)
Ag (0.000, 0.062, 0.418)
Ag (0.000, 0.582, 0.938)
Ag (0.000, 0.744, 0.744)
Ag (0.000, 0.835, 0.165)
Nd (0.500, 0.628, 0.139)
Nd (0.500, 0.208, 0.041)
Nd (0.500, 0.792, 0.959)
Nd (0.500, 0.959, 0.792)
Nd (0.500, 0.041, 0.208)
Nd (0.500, 0.861, 0.372)
Nd (0.500, 0.139, 0.628)
Nd (0.500, 0.500, 0.500)
Nd (0.500, 0.372, 0.861)
Sm (0.500, 0.258, 0.444)
Sm (0.500, 0.556, 0.742)
Sm (0.500, 0.742, 0.556)
Sm (0.500, 0.444, 0.258)


Record 8
Material: SrNd2F8
Method: DFT, PBE
State: relaxed

Output
**Uncorrected energy**: -6.342 eV/atom
**SG**: No. 71
**Total moment**: 0.1 μB per formula unit
**E_form (uncorrected)**: -3.96 eV/atom

Cell lengths 3.885, 6.413, 6.929 Å; angles 117.56, 106.28, 90.00 degrees
Element x y z (fractional)
F (0.162, 0.162, 0.325)
F (0.838, 0.838, 0.675)
F (0.340, 0.562, 0.680)
F (0.660, 0.883, 0.320)
F (0.000, 0.307, 0.000)
F (0.340, 0.117, 0.680)
F (0.660, 0.438, 0.320)
F (0.000, 0.693, 0.000)
Nd (0.181, 0.681, 0.361)
Nd (0.819, 0.319, 0.639)
Sr (0.500, 0.000, 0.000)


Record 9
Material: Rb2NbMoPb
Method: DFT, PBE
State: relaxed

Output
**Uncorrected energy**: -3.274 eV/atom
**SG**: No. 123
**Energy of formation**: 2.035 eV/atom
**Total moment**: 4.6 μB per formula unit

Cell lengths 6.754, 5.308, 6.754 Å; angles 90.00, 90.00, 90.00 degrees
Element x y z (fractional)
Rb (0.000, 0.000, 0.500)
Rb (0.500, 0.000, 0.000)
Pb (0.000, 0.000, 0.000)
Mo (0.000, 0.500, 0.000)
Nb (0.500, 0.500, 0.500)


Record 10
Material: Tb4Sm6Th
Method: DFT, PBE
State: relaxed

Output
**Uncorrected energy**: -4.788 eV/atom
**SG**: No. 63
**Energy of formation**: 0.145 eV/atom
**Total moment**: 0.0 μB per formula unit

Cell lengths 5.861, 5.652, 25.794 Å; angles 90.00, 90.00, 121.23 degrees
Element x y z (fractional)
Sm (0.794, 0.588, 0.101)
Sm (0.794, 0.588, 0.399)
Sm (0.116, 0.231, 0.182)
Sm (0.206, 0.412, 0.601)
Sm (0.116, 0.231, 0.318)
Sm (0.500, 0.000, 0.500)
Sm (0.884, 0.769, 0.818)
Sm (0.556, 0.112, 0.750)
Sm (0.884, 0.769, 0.682)
Sm (0.500, 0.000, 0.000)
Sm (0.444, 0.888, 0.250)
Sm (0.206, 0.412, 0.899)
Tb (0.448, 0.895, 0.377)
Tb (0.149, 0.297, 0.458)
Tb (0.851, 0.703, 0.958)
Tb (0.851, 0.703, 0.542)
Tb (0.552, 0.105, 0.877)
Tb (0.448, 0.895, 0.123)
Tb (0.552, 0.105, 0.623)
Tb (0.149, 0.297, 0.042)
Th (0.216, 0.432, 0.750)
Th (0.784, 0.568, 0.250)